# Ca2PmTl PBE-GGA optimized geometry
# E = -23.51 eV/cell
# N(E_F) = 0.95 states/eV per atom
# Distance to the lowest polymorph of the same formula = 0.035 eV/atom
data_Ca2PmTl
_space_group_name_H-M_alt 'P 1'
_space_group_IT_number 1
_cell_length_a 6.5522
_cell_length_b 5.5918
_cell_length_c 7.0645
_cell_angle_alpha 90.00
_cell_angle_beta 91.55
_cell_angle_gamma 90.00
loop_
_space_group_symop_operation_xyz
'x,y,z'
loop_
_atom_site_label
_atom_site_type_symbol
_atom_site_fract_x
_atom_site_fract_y
_atom_site_fract_z
Ca1 Ca 0.1103 0.2500 0.2179
Ca2 Ca 0.3251 0.7500 0.4789
Ca3 Ca 0.6749 0.2500 0.5211
Ca4 Ca 0.8897 0.7500 0.7821
Pm1 Pm 0.3906 0.7500 0.9771
Pm2 Pm 0.6094 0.2500 0.0229
Tl1 Tl 0.1893 0.2500 0.7464
Tl2 Tl 0.8107 0.7500 0.2536